1.
Computed, not measured: LiNi3I after structural relaxation at the GGA-PBE level of DFT.

Output
Crystal system: cubic
N(E_F) in states/eV per cell: 7.20
E above lowest polymorph in eV/atom: 0.0791
E_tot in eV/atom: -3.30
M_tot in μB/f.u.: 0.0
ΔE_f (raw) in eV/atom: 0.857
Space-group type: No. 221

Lattice parameters (Å, degrees): 4.1569 4.1569 4.1569 90.00 90.00 90.00
Closest atoms and distances in Å follow each position.
Positions (direct):
Li  0.0000  0.0000  0.0000  6 Ni 2.08
Ni  0.0000  0.0000  0.5000  2 Li 2.08
Ni  0.0000  0.5000  0.0000  2 Li 2.08
Ni  0.5000  0.0000  0.0000  2 Li 2.08
I  0.5000  0.5000  0.5000  12 Ni 2.94



2.
Computed, not measured: TaBe2Au after structural relaxation at the GGA-PBE level of DFT.

Output
Crystal system: monoclinic
N(E_F) in states/eV per cell: 3.64
E above lowest polymorph in eV/atom: 0.2303
E_tot in eV/atom: -5.49
M_tot in μB/f.u.: 0.0
Energy of formation from the pure elements in eV per atom: 0.158
Space-group type: No. 12

Lattice parameters (Å, degrees): 7.4089 3.0118 5.1005 90.00 105.33 90.00
Closest atoms and distances in Å follow each position.
Positions (direct):
Ta  0.0000  0.0000  0.0000  6 Be 2.61-2.67
Ta  0.5000  0.5000  0.0000  6 Be 2.61-2.67
Be  0.2418  0.0000  0.6925  3 Au 2.35-2.37, 2 Be 2.50, 2 Ta 2.61
Be  0.2582  0.5000  0.3075  3 Au 2.35-2.37, 2 Be 2.50, 2 Ta 2.61
Be  0.7418  0.5000  0.6925  3 Au 2.35-2.37, 2 Be 2.50, 2 Ta 2.61
Be  0.7582  0.0000  0.3075  3 Au 2.35-2.37, 2 Be 2.50, 2 Ta 2.61
Au  0.0000  0.5000  0.5000  6 Be 2.35-2.37
Au  0.5000  0.0000  0.5000  6 Be 2.35-2.37



3.
Computed, not measured: ZrBeZn after structural relaxation at the GGA-PBE level of DFT.

Output
Crystal system: trigonal
N(E_F) in states/eV per cell: 1.18
E above lowest polymorph in eV/atom: 0.5317
E_tot in eV/atom: -4.24
M_tot in μB/f.u.: 0.0
Energy of formation from the pure elements in eV per atom: 0.276
Space-group type: No. 156

Lattice parameters (Å, degrees): 2.8635 2.8635 6.8211 90.00 90.00 120.00
Closest atoms and distances in Å follow each position.
Positions (direct):
Zr  0.0000  0.0000  0.0000  3 Be 2.85, 6 Zr 2.86, 3 Zn 3.07
Be  0.6667  0.3333  0.3405  3 Zn 2.53
Zn  0.3333  0.6667  0.6207  3 Be 2.53